{"formula": "ZrNiSb2Te", "functional": "PBE", "state": "relaxed", "e_above_lowest_polymorph_mev_per_atom": 0.0, "crystal_system": "tetragonal", "raw_formation_energy_mev_per_atom": 271, "lattice_angstrom": [[4.8971, 0.0000, 0.0000], [0.0000, 4.8971, 0.0000], [0.0000, 0.0000, 5.1661]], "species": ["Sb", "Sb", "Zr", "Ni", "Te"], "fractional_positions": [[0.5000, 0.0000, 0.0000], [0.0000, 0.5000, 0.0000], [0.5000, 0.5000, 0.5000], [0.0000, 0.0000, 0.0000], [0.0000, 0.0000, 0.5000]]}

---

{"formula": "TbNbZn4", "functional": "PBE", "state": "relaxed", "formation_energy_ev_per_atom": -0.158, "crystal_system": "cubic", "lattice_angstrom": [[5.2772, 0.0000, 0.0000], [2.6386, 4.5702, 0.0000], [2.6386, 1.5234, 4.3088]], "species": ["Zn", "Zn", "Zn", "Zn", "Tb", "Nb"], "fractional_positions": [[0.1215, 0.6262, 0.6262], [0.6262, 0.6262, 0.1215], [0.6262, 0.1215, 0.6262], [0.6262, 0.6262, 0.6262], [0.2500, 0.2500, 0.2500], [0.0000, 0.0000, 0.0000]]}

---

{"formula": "Cs2BaAu", "functional": "PBE", "state": "relaxed", "formation_energy_ev_per_atom": -0.087, "e_above_lowest_polymorph_mev_per_atom": 228.7, "crystal_system": "tetragonal", "lattice_angstrom": [[12.9286, 0.0000, 0.0000], [0.0000, 12.9286, 0.0000], [6.4643, 6.4643, 3.2983]], "species": ["Au", "Au", "Cs", "Cs", "Cs", "Cs", "Ba", "Ba"], "fractional_positions": [[0.0000, 0.0000, 0.0000], [0.7500, 0.2500, 0.5000], [0.3750, 0.2487, 0.7500], [0.9987, 0.6250, 0.2500], [0.7513, 0.1250, 0.2500], [0.8750, 0.0013, 0.7500], [0.2500, 0.7500, 0.5000], [0.5000, 0.5000, 0.0000]]}

---

{"formula": "Na8B11C5", "functional": "PBE", "state": "relaxed", "formation_energy_ev_per_atom": 0.108, "e_above_lowest_polymorph_mev_per_atom": 6.1, "crystal_system": "orthorhombic", "lattice_angstrom": [[2.8088, 0.0000, 0.0000], [0.0000, 8.5796, 0.0000], [0.0000, 0.0000, 10.2950]], "species": ["C", "C", "C", "C", "C", "B", "B", "B", "B", "B", "B", "B", "B", "B", "B", "B", "Na", "Na", "Na", "Na", "Na", "Na", "Na", "Na"], "fractional_positions": [[0.5000, 0.2500, 0.4279], [0.0000, 0.7500, 0.8231], [0.5000, 0.7500, 0.5904], [0.5000, 0.2500, 0.9085], [0.0000, 0.2500, 0.6684], [0.0000, 0.7500, 0.3362], [0.5000, 0.7500, 0.4405], [0.0000, 0.2500, 0.3477], [0.0000, 0.7500, 0.6688], [0.0000, 0.7500, 0.1722], [0.5000, 0.7500, 0.0666], [0.0000, 0.2500, 0.1738], [0.0000, 0.2500, 0.8272], [0.5000, 0.7500, 0.9003], [0.5000, 0.2500, 0.5881], [0.5000, 0.2500, 0.0622], [0.0000, 0.9975, 0.9973], [0.5000, 0.0007, 0.7496], [0.5000, 0.4993, 0.7496], [0.5000, 0.0012, 0.2506], [0.0000, 0.0037, 0.5016], [0.0000, 0.5025, 0.9973], [0.0000, 0.4963, 0.5016], [0.5000, 0.4988, 0.2506]]}

---

{"formula": "TlHg6Pb5", "functional": "PBE", "state": "relaxed", "formation_energy_ev_per_atom": 0.025, "crystal_system": "monoclinic", "lattice_angstrom": [[3.5630, -0.0430, -1.0249], [-3.0658, 9.2190, -3.6912], [0.8642, 0.0177, 10.3570]], "species": ["Pb", "Pb", "Pb", "Pb", "Pb", "Hg", "Hg", "Hg", "Hg", "Hg", "Hg", "Tl"], "fractional_positions": [[0.0000, 0.3326, 0.6674], [0.5000, 0.8327, 0.1673], [0.5000, 0.5000, 0.5000], [0.0000, 0.6674, 0.3326], [0.5000, 0.1673, 0.8327], [0.2457, 0.7509, 0.7509], [0.7505, 0.5841, 0.9167], [0.2495, 0.0833, 0.4159], [0.7505, 0.9167, 0.5841], [0.2495, 0.4159, 0.0833], [0.7543, 0.2491, 0.2491], [0.0000, 0.0000, 0.0000]]}

---

{"formula": "La6Tb2SmSc", "functional": "PBE", "state": "relaxed", "formation_energy_ev_per_atom": 0.207, "crystal_system": "monoclinic", "lattice_angstrom": [[8.8111, 0.0000, 3.1316], [0.0000, 7.4094, 0.0000], [-0.8136, -3.7047, 5.0016]], "species": ["Sc", "La", "La", "La", "La", "La", "La", "Tb", "Tb", "Sm"], "fractional_positions": [[0.0000, 0.5000, 0.0000], [0.7342, 0.8581, 0.2642], [0.7342, 0.4062, 0.2642], [0.6294, 0.3665, 0.7331], [0.2658, 0.1419, 0.7358], [0.2658, 0.5938, 0.7358], [0.3706, 0.6335, 0.2669], [0.9465, 0.8427, 0.6854], [0.0535, 0.1573, 0.3146], [0.5000, 0.0000, 0.0000]]}

---

{"formula": "Be2AlB", "functional": "PBE", "state": "relaxed", "formation_energy_ev_per_atom": 0.115, "e_above_lowest_polymorph_mev_per_atom": 93.4, "crystal_system": "monoclinic", "lattice_angstrom": [[5.2524, 0.0000, 0.0488], [0.0000, 2.9085, 0.0000], [-2.1587, 0.0000, 5.4899]], "species": ["Be", "Be", "Be", "Be", "Al", "Al", "B", "B"], "fractional_positions": [[0.5945, 0.0000, 0.2383], [0.5755, 0.0000, 0.8618], [0.3013, 0.5000, 0.6120], [0.3190, 0.5000, 0.9826], [0.0419, 0.0000, 0.1936], [0.9422, 0.0000, 0.6828], [0.4887, 0.0000, 0.5086], [0.3918, 0.5000, 0.3313]]}

---

{"formula": "Sc2RhN", "functional": "PBE", "state": "relaxed", "crystal_system": "tetragonal", "raw_formation_energy_mev_per_atom": -908, "lattice_angstrom": [[-0.5270, 1.7285, -5.7970], [5.1437, -2.9344, -1.3426], [0.3658, -3.6703, -4.3078]], "species": ["Sc", "Sc", "Sc", "Sc", "Rh", "Rh", "N", "N"], "fractional_positions": [[0.8750, 0.8031, 0.7500], [0.1969, 0.6250, 0.2500], [0.5531, 0.1250, 0.2500], [0.3750, 0.4469, 0.7500], [0.0000, 0.0000, 0.0000], [0.7500, 0.2500, 0.5000], [0.5000, 0.5000, 0.0000], [0.2500, 0.7500, 0.5000]]}

---

{"formula": "La2AlCd12Ag3", "functional": "PBE", "state": "relaxed", "formation_energy_ev_per_atom": -0.037, "crystal_system": "trigonal", "lattice_angstrom": [[13.0428, 4.0047, 2.8405], [9.9235, 9.3636, 2.8405], [9.9235, 5.7763, 7.8980]], "species": ["Al", "Ag", "Ag", "Ag", "Cd", "Cd", "Cd", "Cd", "Cd", "Cd", "Cd", "Cd", "Cd", "Cd", "Cd", "Cd", "La", "La"], "fractional_positions": [[0.0000, 0.0000, 0.0000], [0.0000, 0.0000, 0.5000], [0.0000, 0.5000, 0.0000], [0.5000, 0.0000, 0.0000], [0.3968, 0.8692, 0.3968], [0.6088, 0.1146, 0.1146], [0.8692, 0.3968, 0.3968], [0.8854, 0.3912, 0.8854], [0.3968, 0.3968, 0.8692], [0.8854, 0.8854, 0.3912], [0.3912, 0.8854, 0.8854], [0.6032, 0.1308, 0.6032], [0.1146, 0.1146, 0.6088], [0.1146, 0.6088, 0.1146], [0.6032, 0.6032, 0.1308], [0.1308, 0.6032, 0.6032], [0.3551, 0.3551, 0.3551], [0.6449, 0.6449, 0.6449]]}

---

{"formula": "BaMg3Sb3", "functional": "PBE", "state": "relaxed", "crystal_system": "trigonal", "raw_formation_energy_mev_per_atom": -525, "lattice_angstrom": [[8.2058, 0.0000, 0.0000], [4.1029, 7.1064, 0.0000], [4.1029, 2.3688, 8.4051]], "species": ["Mg", "Mg", "Mg", "Mg", "Mg", "Mg", "Sb", "Sb", "Sb", "Sb", "Sb", "Sb", "Ba", "Ba"], "fractional_positions": [[0.4573, 0.7949, 0.6177], [0.1300, 0.4573, 0.6177], [0.5427, 0.2051, 0.3823], [0.2051, 0.8700, 0.3823], [0.8700, 0.5427, 0.3823], [0.7949, 0.1300, 0.6177], [0.7573, 0.4253, 0.7301], [0.9127, 0.2427, 0.2699], [0.0873, 0.7573, 0.7301], [0.2427, 0.5747, 0.2699], [0.4253, 0.0873, 0.7301], [0.5747, 0.9127, 0.2699], [0.6659, 0.6659, 0.0023], [0.3341, 0.3341, 0.9977]]}

---

{"formula": "Si2Se", "functional": "PBE", "state": "relaxed", "e_above_lowest_polymorph_mev_per_atom": 1131.8, "crystal_system": "tetragonal", "raw_formation_energy_mev_per_atom": 963, "lattice_angstrom": [[6.5595, 0.0000, 0.0000], [0.0000, 6.5595, 0.0000], [0.0000, 0.0000, 3.3169]], "species": ["Si", "Si", "Si", "Si", "Se", "Se"], "fractional_positions": [[0.7168, 0.2832, 0.5000], [0.2832, 0.7168, 0.5000], [0.2168, 0.2168, 0.0000], [0.7832, 0.7832, 0.0000], [0.5000, 0.5000, 0.0000], [0.0000, 0.0000, 0.5000]]}

---

{"formula": "AlTcPd3", "functional": "PBE", "state": "relaxed", "formation_energy_ev_per_atom": 1.115, "e_above_lowest_polymorph_mev_per_atom": 320.0, "crystal_system": "cubic", "lattice_angstrom": [[-2.5970, -1.6464, -3.6646], [-1.3293, -3.7657, 2.6338], [-3.7912, 2.4481, 1.5869]], "species": ["Pd", "Pd", "Pd", "Al", "Tc"], "fractional_positions": [[0.0000, 0.5000, 0.0000], [0.0000, 0.0000, 0.5000], [0.5000, 0.0000, 0.0000], [0.5000, 0.5000, 0.5000], [0.0000, 0.0000, 0.0000]]}

---

Let's list total energy in order: -4.87, -3.46, -1.81, -5.31, -1.87, -4.78, -4.35, -7.99, -1.88, -3.25, -3.81, -4.82 eV per atom.